Entry a
# PBE-GGA LaMgTa, relaxed
# Magnetization   0.00 Bohr magnetons per cell
# DOS(E_F)   10.96 states/eV/cell
data_LaMgTa
_chemical_formula_sum 'La4 Mg4 Ta4'
_symmetry_space_group_name_H-M 'C 1 2/m 1'
_symmetry_Int_Tables_number 12
_cell_length_a 12.629
_cell_length_b 3.415
_cell_length_c 7.374
_cell_angle_alpha 90.00
_cell_angle_beta 103.45
_cell_angle_gamma 90.00
loop_
_symmetry_equiv_pos_as_xyz
'x,y,z'
'-x,-y,-z'
'-x,y,-z'
'x,-y,z'
'x+1/2,y+1/2,z'
'-x+1/2,-y+1/2,-z'
'-x+1/2,y+1/2,-z'
'x+1/2,-y+1/2,z'
loop_
_atom_site_label
_atom_site_type_symbol
_atom_site_fract_x
_atom_site_fract_y
_atom_site_fract_z
La1 La 0.010 0.000 0.247
Mg1 Mg 0.198 0.500 0.633
Ta1 Ta 0.178 0.500 0.041

Entry b
# PBE-GGA LaMgTa, relaxed
# Magnetization   0.00 Bohr magnetons per cell
# DOS(E_F)   4.79 states/eV/cell
data_LaMgTa
_chemical_formula_sum 'La2 Mg2 Ta2'
_symmetry_space_group_name_H-M 'I 4 m m'
_symmetry_Int_Tables_number 107
_symmetry_space_group_name_Hall 'I 4 -2'
_cell_length_a 3.070
_cell_length_b 3.070
_cell_length_c 15.362
_cell_angle_alpha 90.00
_cell_angle_beta 90.00
_cell_angle_gamma 90.00
loop_
_atom_site_label
_atom_site_type_symbol
_atom_site_fract_x
_atom_site_fract_y
_atom_site_fract_z
La1 La 0.000 0.000 0.000
Mg1 Mg 0.000 0.000 0.305
Ta1 Ta 0.000 0.000 0.664

Entry c
# PBE-GGA LaMgTa, relaxed
# Magnetization   0.00 Bohr magnetons per cell
# DOS(E_F)   3.03 states/eV/cell
data_LaMgTa
_chemical_formula_sum 'La1 Mg1 Ta1'
_symmetry_space_group_name_H-M 'P 3 m 1'
_symmetry_Int_Tables_number 156
_cell_length_a 3.1310
_cell_length_b 3.1310
_cell_length_c 8.4472
_cell_angle_alpha 90.00
_cell_angle_beta 90.00
_cell_angle_gamma 120.00
loop_
_symmetry_equiv_pos_as_xyz
'x,y,z'
'-y,x-y,z'
'-x+y,-x,z'
'-y,-x,z'
'-x+y,y,z'
'x,x-y,z'
loop_
_atom_site_label
_atom_site_type_symbol
_atom_site_fract_x
_atom_site_fract_y
_atom_site_fract_z
La1 La 0.0000 0.0000 0.0000
Mg1 Mg 0.3333 0.6667 0.3770
Ta1 Ta 0.6667 0.3333 0.6694

Entry d
# PBE-GGA LaMgTa, relaxed
# Magnetization   0.00 Bohr magnetons per cell
# DOS(E_F)   12.85 states/eV/cell
data_LaMgTa
_chemical_formula_sum 'La4 Mg4 Ta4'
_symmetry_space_group_name_H-M 'C 1 2/m 1'
_symmetry_Int_Tables_number 12
_cell_length_a 6.160
_cell_length_b 16.028
_cell_length_c 3.145
_cell_angle_alpha 90.00
_cell_angle_beta 98.97
_cell_angle_gamma 90.00
loop_
_symmetry_equiv_pos_as_xyz
'x,y,z'
'-x,-y,-z'
'-x,y,-z'
'x,-y,z'
'x+1/2,y+1/2,z'
'-x+1/2,-y+1/2,-z'
'-x+1/2,y+1/2,-z'
'x+1/2,-y+1/2,z'
loop_
_atom_site_label
_atom_site_type_symbol
_atom_site_fract_x
_atom_site_fract_y
_atom_site_fract_z
La1 La 0.000 0.176 0.000
Mg1 Mg 0.000 0.384 0.500
Ta1 Ta 0.187 0.000 0.807

Comparing the structures above, entry a comes out on top by 1.9 kJ/mol of atoms.